Entry from Alexandria: a relaxed Tb12Er5Al3 crystal (PBE-GGA).

The calculation puts the total energy at -3.641 eV per atom. As for the calculated volume: 37.48 Å³ per atom. The formation energy comes out at 839 meV per atom.

The space group is Ia-3d (No. 230) and the conventional cell measures 18.169, 18.169 and 18.169 Å, with angles of 90.00, 90.00 and 90.00 degrees. The asymmetric unit holds Tb at (0.004, 0.083, 0.651), Er at (0.000, 0.000, 0.000), Er at (0.000, 0.250, 0.375) and Al at (0.000, 0.250, 0.125).